Record 1
Entry from Alexandria: a relaxed structure of PrTl2Zn2Te4 (PBE).

Structure (POSCAR):
```
PrTl2Zn2Te4
1.0
4.368 0.000 0.000
0.000 8.577 0.611
-2.184 -2.848 7.523
Pr Tl Te Zn
1 2 4 2
direct
0.000 0.000 0.000
0.131 0.541 0.261
0.869 0.459 0.739
0.791 0.817 0.582
0.515 0.738 0.031
0.209 0.183 0.418
0.485 0.262 0.969
0.334 0.019 0.668
0.666 0.981 0.332
```

DOS at the Fermi energy: 0.20 states/eV per atom
electronic total energy: -3.332 eV per atom
energy relative to the elements, uncorrected: -0.596 eV per atom
crystal system: monoclinic

=====

Record 2
Entry from Alexandria: a relaxed structure of HgTe2AuN (PBE).

Structure (POSCAR):
```
HgTe2AuN
1.0
-4.028 -0.557 -4.261
3.877 -2.990 -3.275
-1.179 -3.210 1.534
Au Hg Te N
1 1 2 1
direct
0.000 0.000 0.000
0.500 0.500 0.500
0.000 0.500 0.000
0.500 0.000 0.000
0.000 0.000 0.500
```

DOS at the Fermi energy: 1.00 states/eV per atom
electronic total energy: -2.745 eV per atom
relative energy among the computed polymorphs: 0.0 meV per atom
energy relative to the elements, uncorrected: 0.893 eV per atom
crystal system: tetragonal